[1]
Density functional theory data (PBE-GGA) for crystalline NaYZr at its relaxed geometry.

The structure in extended XYZ format:
```
6
Lattice="-7.8019 -4.6028 -2.7205 1.8832 -2.0839 -1.8792 1.8854 -2.6354 4.8103" Properties=species:S:1:pos:R:3 pbc="T T T"
Y -0.4704 -2.7900 2.0287
Y -1.3551 -6.0629 1.7348
Na -6.8967 -4.4000 -2.6120
Na -4.5988 -6.4448 -1.0845
Zr -0.6305 -2.6627 -1.3109
Zr -3.0765 -3.5509 0.2624
```

space group: P1, No. 1
DFT formation energy: 0.226 eV per atom
total moment: 0.000 μB per atom

[2]
Density functional theory data (PBE-GGA) for crystalline Ir2Os4W3 at its relaxed geometry.

The structure in extended XYZ format:
```
18
Lattice="-4.5612 0.5796 1.5361 -5.0502 -4.2419 -5.5523 -0.2313 -6.8240 1.9536" Properties=species:S:1:pos:R:3 pbc="T T T"
Ir -4.7731 -6.1614 -2.7202
Ir -4.1043 -3.6048 -1.8041
Ir -5.0696 -4.3248 0.6576
Ir -5.7384 -6.8814 -0.2585
Os -3.0053 -5.4255 2.1695
Os -5.6168 -6.3641 2.3778
Os -6.8374 -5.0607 -4.2321
Os -4.2259 -4.1221 -4.4403
Os -7.3985 -7.1074 -2.4894
Os -6.0596 -2.0807 -0.4791
Os -2.4442 -3.3789 0.4268
Os -3.7831 -8.4055 -1.5835
W -5.4491 -8.6579 -3.7180
W -3.4313 -1.1125 -0.8029
W -4.3936 -1.8284 1.6554
W -6.4114 -9.3737 -1.2596
W -3.1136 -5.9018 -0.5726
W -6.7292 -4.5844 -1.4900
```

space group: P-1, No. 2
DFT formation energy: -0.085 eV per atom
total moment: 0.000 μB per atom

[3]
Density functional theory data (PBE-GGA) for crystalline VCu3Pd12 at its relaxed geometry.

The structure in extended XYZ format:
```
16
Lattice="3.8925 0.0000 0.0000 0.0000 3.8925 0.0000 0.0000 0.0000 15.5212" Properties=species:S:1:pos:R:3 pbc="T T T"
V 0.0000 0.0000 0.0000
Cu 0.0000 0.0000 3.8970
Cu 0.0000 0.0000 7.7606
Cu 0.0000 0.0000 11.6242
Pd 1.9462 1.9462 0.0000
Pd 1.9462 1.9462 3.8694
Pd 1.9462 1.9462 7.7606
Pd 1.9462 1.9462 11.6519
Pd 1.9462 0.0000 1.8974
Pd 1.9462 0.0000 5.8237
Pd 1.9462 0.0000 9.6975
Pd 1.9462 0.0000 13.6238
Pd 0.0000 1.9462 1.8974
Pd 0.0000 1.9462 5.8237
Pd 0.0000 1.9462 9.6975
Pd 0.0000 1.9462 13.6238
```

space group: P4/mmm, No. 123
DFT formation energy: -0.113 eV per atom
total moment: 0.005 μB per atom

[4]
Density functional theory data (PBE-GGA) for crystalline SrAlFe2 at its relaxed geometry.

The structure in extended XYZ format:
```
4
Lattice="-3.3457 0.0331 0.0909 -0.0196 -3.3119 0.4846 0.1909 0.9747 6.6688" Properties=species:S:1:pos:R:3 pbc="T T T"
Sr -1.6349 -1.3957 1.9550
Fe 0.1742 0.8895 6.0858
Fe 0.1121 0.5725 3.9174
Al -1.5395 -0.9084 5.2894
```

space group: P4/mmm, No. 123
DFT formation energy: 0.282 eV per atom
total moment: 1.101 μB per atom